Version 1
Entry from Alexandria: an optimized crystal structure of TcIrCl (PBE).

Cell lengths 4.1810, 4.1810, 2.9438 Å; angles 90.00, 90.00, 120.00 degrees
With the nearest neighbours (Å) after each atom.
Fractional positions:
Tc 0.0000 0.0000 0.0000  3 Cl 2.48, 3 Ir 2.76
Ir 0.6667 0.3333 0.5447  3 Cl 2.62, 6 Tc 2.76-2.90
Cl 0.3333 0.6667 0.1951  3 Tc 2.48, 3 Ir 2.62

## Properties
Space group   No. 156
Size of the total moment   0.000 μB/cell

=====

Version 2
Entry from Alexandria: an optimized crystal structure of TcIrCl (PBE).

Cell lengths 2.8112, 5.0041, 14.2466 Å; angles 90.00, 90.00, 90.00 degrees
With the nearest neighbours (Å) after each atom.
Fractional positions:
Tc 0.0000 0.0000 0.0000  2 Cl 2.44, 2 Ir 2.58
Tc 0.0000 0.5000 0.5000  2 Cl 2.44, 2 Ir 2.58
Tc 0.5000 0.0000 0.5000  2 Cl 2.44, 2 Ir 2.58
Tc 0.5000 0.5000 0.0000  2 Cl 2.44, 2 Ir 2.58
Ir 0.0000 0.0000 0.6522  2 Tc 2.58, 6 Ir 2.81-2.87
Ir 0.0000 0.5000 0.1522  2 Tc 2.58, 6 Ir 2.81-2.87
Ir 0.5000 0.0000 0.1522  2 Tc 2.58, 6 Ir 2.81-2.87
Ir 0.5000 0.5000 0.6522  2 Tc 2.58, 6 Ir 2.81-2.87
Cl 0.0000 0.0000 0.3597  2 Tc 2.44
Cl 0.0000 0.5000 0.8597  2 Tc 2.44
Cl 0.5000 0.0000 0.8597  2 Tc 2.44
Cl 0.5000 0.5000 0.3597  2 Tc 2.44

## Properties
Space group   No. 42
Size of the total moment   3.492 μB/cell

=====

It comes down to version 2, which is 23.0 kJ/mol of atoms more stable than the next structure.

=====

Version 1
Entry from Alexandria: an optimized crystal structure of TcIrCl (PBE).

Cell lengths 2.8757, 2.8757, 6.4923 Å; angles 90.00, 90.00, 120.00 degrees
With the nearest neighbours (Å) after each atom.
Fractional positions:
Tc 0.0000 0.0000 0.0000  3 Cl 2.54, 3 Ir 2.62
Ir 0.3333 0.6667 0.6888  3 Tc 2.62, 6 Ir 2.88
Cl 0.6667 0.3333 0.2960  3 Tc 2.54

## Properties
Space group   No. 156
Size of the total moment   0.000 μB/cell

=====

Version 2
Entry from Alexandria: an optimized crystal structure of TcIrCl (PBE).

Cell lengths 2.8626, 2.8626, 12.8133 Å; angles 90.00, 90.00, 90.00 degrees
With the nearest neighbours (Å) after each atom.
Fractional positions:
Tc 0.0000 0.0000 0.0000  4 Ir 2.59, 4 Cl 2.64, 4 Tc 2.86
Tc 0.5000 0.5000 0.5000  4 Ir 2.59, 4 Cl 2.64, 4 Tc 2.86
Ir 0.0000 0.0000 0.3734  4 Tc 2.59, 4 Ir 2.86
Ir 0.5000 0.5000 0.8734  4 Tc 2.59, 4 Ir 2.86
Cl 0.0000 0.0000 0.6317  4 Tc 2.64, 4 Cl 2.86
Cl 0.5000 0.5000 0.1317  4 Tc 2.64, 4 Cl 2.86

## Properties
Space group   No. 107
Size of the total moment   0.000 μB/cell

=====

It comes down to version 1, which is 7.1 kJ/mol of atoms more stable than the next structure.